[1]
# MnCdHg2, relaxed, DFT PBE
# * Fermi-level density of states: 4.00 states/eV/cell
# * energy relative to the elements: 0.23 eV/atom
data_MnCdHg2
_chemical_formula_sum 'Mn2 Cd2 Hg4'
_symmetry_space_group_name_H-M 'C 1 2/m 1'
_symmetry_Int_Tables_number 12
_cell_length_a 9.4734
_cell_length_b 3.2902
_cell_length_c 5.5755
_cell_angle_alpha 90.00
_cell_angle_beta 103.04
_cell_angle_gamma 90.00
loop_
_symmetry_equiv_pos_as_xyz
'x,y,z'
'-x,-y,-z'
'-x,y,-z'
'x,-y,z'
'x+1/2,y+1/2,z'
'-x+1/2,-y+1/2,-z'
'-x+1/2,y+1/2,-z'
'x+1/2,-y+1/2,z'
loop_
_atom_site_label
_atom_site_type_symbol
_atom_site_fract_x
_atom_site_fract_y
_atom_site_fract_z
_atom_site_occupancy
Mn1 Mn 0.0000 0.0000 0.0000 1
Cd1 Cd 0.0000 0.5000 0.5000 1
Hg1 Hg 0.2410 0.5000 0.2335 1

=====

[2]
# Ba6Tl2Rh, relaxed, DFT PBE
# * Fermi-level density of states: 24.39 states/eV/cell
# * energy relative to the elements: -0.26 eV/atom
data_Ba6Tl2Rh
_chemical_formula_sum 'Ba12 Tl4 Rh2'
_symmetry_space_group_name_H-M 'P 1 21/c 1'
_symmetry_Int_Tables_number 14
_cell_length_a 8.1491
_cell_length_b 9.1197
_cell_length_c 14.0247
_cell_angle_alpha 90.00
_cell_angle_beta 124.56
_cell_angle_gamma 90.00
loop_
_symmetry_equiv_pos_as_xyz
'x,y,z'
'-x,-y,-z'
'-x,y+1/2,-z+1/2'
'x,-y+1/2,z+1/2'
loop_
_atom_site_label
_atom_site_type_symbol
_atom_site_fract_x
_atom_site_fract_y
_atom_site_fract_z
_atom_site_occupancy
Ba1 Ba 0.1326 0.1673 0.4444 1
Ba2 Ba 0.2779 0.7013 0.4426 1
Ba3 Ba 0.3616 0.0243 0.2494 1
Tl1 Tl 0.2180 0.1059 0.7531 1
Rh1 Rh 0.5000 0.0000 0.5000 1

=====

[3]
# LiPt4Au, relaxed, DFT PBE
# * Fermi-level density of states: 5.70 states/eV/cell
# * energy relative to the elements: -0.15 eV/atom
data_LiPt4Au
_chemical_formula_sum 'Li4 Pt16 Au4'
_symmetry_space_group_name_H-M 'F -4 3 m'
_symmetry_Int_Tables_number 216
_symmetry_space_group_name_Hall 'F -4 2 3'
_cell_length_a 7.4565
_cell_length_b 7.4565
_cell_length_c 7.4565
_cell_angle_alpha 90.00
_cell_angle_beta 90.00
_cell_angle_gamma 90.00
loop_
_atom_site_label
_atom_site_type_symbol
_atom_site_fract_x
_atom_site_fract_y
_atom_site_fract_z
_atom_site_occupancy
Li1 Li 0.0000 0.0000 0.0000 1
Pt1 Pt 0.1251 0.1251 0.6251 1
Au1 Au 0.2500 0.2500 0.2500 1

=====

[4]
# Mg5TlIn6, relaxed, DFT PBE
# * Fermi-level density of states: 7.55 states/eV/cell
# * energy relative to the elements: -0.06 eV/atom
data_Mg5TlIn6
_chemical_formula_sum 'Mg10 Tl2 In12'
_symmetry_space_group_name_H-M 'C 1 2/m 1'
_symmetry_Int_Tables_number 12
_cell_length_a 10.1689
_cell_length_b 13.7267
_cell_length_c 4.6933
_cell_angle_alpha 90.00
_cell_angle_beta 117.32
_cell_angle_gamma 90.00
loop_
_symmetry_equiv_pos_as_xyz
'x,y,z'
'-x,-y,-z'
'-x,y,-z'
'x,-y,z'
'x+1/2,y+1/2,z'
'-x+1/2,-y+1/2,-z'
'-x+1/2,y+1/2,-z'
'x+1/2,-y+1/2,z'
loop_
_atom_site_label
_atom_site_type_symbol
_atom_site_fract_x
_atom_site_fract_y
_atom_site_fract_z
_atom_site_occupancy
Mg1 Mg 0.0000 0.0000 0.0000 1
Mg2 Mg 0.0000 0.1750 0.5000 1
Mg3 Mg 0.0000 0.3422 0.0000 1
Tl1 Tl 0.0000 0.5000 0.5000 1
In1 In 0.2288 0.0000 0.7286 1
In2 In 0.2386 0.1707 0.2378 1

=====

[5]
# TaTeI, relaxed, DFT PBE
# * Fermi-level density of states: 4.64 states/eV/cell
# * E above lowest polymorph: 327.8 meV per atom
data_TaTeI
_chemical_formula_sum 'Ta2 Te2 I2'
_symmetry_space_group_name_H-M 'P -1'
_symmetry_Int_Tables_number 2
_cell_length_a 5.9544
_cell_length_b 6.5679
_cell_length_c 6.5729
_cell_angle_alpha 89.14
_cell_angle_beta 87.45
_cell_angle_gamma 87.81
loop_
_symmetry_equiv_pos_as_xyz
'x,y,z'
'-x,-y,-z'
loop_
_atom_site_label
_atom_site_type_symbol
_atom_site_fract_x
_atom_site_fract_y
_atom_site_fract_z
_atom_site_occupancy
Ta1 Ta 0.2480 0.0217 0.0225 1
Te1 Te 0.4715 0.7661 0.7641 1
I1 I 0.0023 0.2472 0.7551 1

=====

[6]
# Y2TiIn, relaxed, DFT PBE
# * Fermi-level density of states: 3.93 states/eV/cell
# * energy relative to the elements: -0.12 eV/atom
data_Y2TiIn
_chemical_formula_sum 'Y2 Ti1 In1'
_symmetry_space_group_name_H-M 'P 4/m m m'
_symmetry_Int_Tables_number 123
_symmetry_space_group_name_Hall '-P 4 2'
_cell_length_a 4.7949
_cell_length_b 4.7949
_cell_length_c 4.4479
_cell_angle_alpha 90.00
_cell_angle_beta 90.00
_cell_angle_gamma 90.00
loop_
_atom_site_label
_atom_site_type_symbol
_atom_site_fract_x
_atom_site_fract_y
_atom_site_fract_z
_atom_site_occupancy
Y1 Y 0.0000 0.5000 0.0000 1
Ti1 Ti 0.0000 0.0000 0.5000 1
In1 In 0.5000 0.5000 0.5000 1

=====

[7]
# Ac6Ge3H2, relaxed, DFT PBE
# * Fermi-level density of states: 22.04 states/eV/cell
data_Ac6Ge3H2
_chemical_formula_sum 'Ac12 Ge6 H4'
_symmetry_space_group_name_H-M 'I 4/m m m'
_symmetry_Int_Tables_number 139
_symmetry_space_group_name_Hall '-I 4 2'
_cell_length_a 5.0644
_cell_length_b 5.0644
_cell_length_c 25.5356
_cell_angle_alpha 90.00
_cell_angle_beta 90.00
_cell_angle_gamma 90.00
loop_
_atom_site_label
_atom_site_type_symbol
_atom_site_fract_x
_atom_site_fract_y
_atom_site_fract_z
_atom_site_occupancy
Ac1 Ac 0.0000 0.0000 0.2039 1
Ac2 Ac 0.0000 0.5000 0.0798 1
Ge1 Ge 0.0000 0.0000 0.3295 1
Ge2 Ge 0.0000 0.0000 0.5000 1
H1 H 0.0000 0.0000 0.0994 1

=====

[8]
# CeTc2GeN, relaxed, DFT PBE
# * Fermi-level density of states: 21.59 states/eV/cell
data_CeTc2GeN
_chemical_formula_sum 'Ce4 Tc8 Ge4 N4'
_symmetry_space_group_name_H-M 'C m c m'
_symmetry_Int_Tables_number 63
_symmetry_space_group_name_Hall '-C 2c 2'
_cell_length_a 3.5212
_cell_length_b 11.6995
_cell_length_c 7.7367
_cell_angle_alpha 90.00
_cell_angle_beta 90.00
_cell_angle_gamma 90.00
loop_
_atom_site_label
_atom_site_type_symbol
_atom_site_fract_x
_atom_site_fract_y
_atom_site_fract_z
_atom_site_occupancy
Ce1 Ce 0.0000 0.0364 0.2500 1
Tc1 Tc 0.0000 0.3378 0.0510 1
Ge1 Ge 0.0000 0.2440 0.7500 1
N1 N 0.0000 0.5000 0.0000 1

=====

[9]
# CaTlBr2, relaxed, DFT PBE
# * Fermi-level density of states: 2.03 states/eV/cell
# * E above lowest polymorph: 247.7 meV per atom
data_CaTlBr2
_chemical_formula_sum 'Ca1 Tl1 Br2'
_symmetry_space_group_name_H-M 'P 4 m m'
_symmetry_Int_Tables_number 99
_cell_length_a 4.0942
_cell_length_b 4.0942
_cell_length_c 8.7496
_cell_angle_alpha 90.00
_cell_angle_beta 90.00
_cell_angle_gamma 90.00
loop_
_symmetry_equiv_pos_as_xyz
'x,y,z'
'-y,x,z'
'-x,-y,z'
'y,-x,z'
'-x,y,z'
'y,x,z'
'x,-y,z'
'-y,-x,z'
loop_
_atom_site_label
_atom_site_type_symbol
_atom_site_fract_x
_atom_site_fract_y
_atom_site_fract_z
_atom_site_occupancy
Ca1 Ca 0.0000 0.0000 0.0000 1
Tl1 Tl 0.5000 0.5000 0.4394 1
Br1 Br 0.0000 0.0000 0.6943 1
Br2 Br 0.5000 0.5000 0.0454 1

=====

[10]
# Te3AsBr, relaxed, DFT PBE
# * E above lowest polymorph: 0.0 meV per atom
data_Te3AsBr
_chemical_formula_sum 'Te6 As2 Br2'
_symmetry_space_group_name_H-M 'P m n 21'
_symmetry_Int_Tables_number 31
_cell_length_a 8.2482
_cell_length_b 7.9302
_cell_length_c 5.2698
_cell_angle_alpha 90.00
_cell_angle_beta 90.00
_cell_angle_gamma 90.00
loop_
_symmetry_equiv_pos_as_xyz
'x,y,z'
'-x+1/2,-y,z+1/2'
'-x,y,z'
'x+1/2,-y,z+1/2'
loop_
_atom_site_label
_atom_site_type_symbol
_atom_site_fract_x
_atom_site_fract_y
_atom_site_fract_z
_atom_site_occupancy
Te1 Te 0.0000 0.1836 0.0000 1
Te2 Te 0.2328 0.2706 0.6205 1
As1 As 0.0000 0.4435 0.3558 1
Br1 Br 0.0000 0.7387 0.6944 1

=====

[11]
# Cd3Pt4Rh, relaxed, DFT PBE
# * Fermi-level density of states: 12.42 states/eV/cell
# * energy relative to the elements: -0.20 eV/atom
data_Cd3Pt4Rh
_chemical_formula_sum 'Cd6 Pt8 Rh2'
_symmetry_space_group_name_H-M 'I 4/m m m'
_symmetry_Int_Tables_number 139
_symmetry_space_group_name_Hall '-I 4 2'
_cell_length_a 4.1453
_cell_length_b 4.1453
_cell_length_c 15.6912
_cell_angle_alpha 90.00
_cell_angle_beta 90.00
_cell_angle_gamma 90.00
loop_
_atom_site_label
_atom_site_type_symbol
_atom_site_fract_x
_atom_site_fract_y
_atom_site_fract_z
_atom_site_occupancy
Cd1 Cd 0.0000 0.0000 0.0000 1
Cd2 Cd 0.0000 0.0000 0.2488 1
Pt1 Pt 0.0000 0.5000 0.1220 1
Rh1 Rh 0.0000 0.0000 0.5000 1

=====

[12]
# V2SbTeOs, relaxed, DFT PBE
# * Fermi-level density of states: 9.69 states/eV/cell
data_V2SbTeOs
_chemical_formula_sum 'V2 Sb1 Te1 Os1'
_symmetry_space_group_name_H-M 'P 4/m m m'
_symmetry_Int_Tables_number 123
_symmetry_space_group_name_Hall '-P 4 2'
_cell_length_a 4.8829
_cell_length_b 4.8829
_cell_length_c 5.5796
_cell_angle_alpha 90.00
_cell_angle_beta 90.00
_cell_angle_gamma 90.00
loop_
_atom_site_label
_atom_site_type_symbol
_atom_site_fract_x
_atom_site_fract_y
_atom_site_fract_z
_atom_site_occupancy
V1 V 0.0000 0.5000 0.0000 1
Sb1 Sb 0.0000 0.0000 0.5000 1
Te1 Te 0.0000 0.0000 0.0000 1
Os1 Os 0.5000 0.5000 0.5000 1

=====

Asked for density across the records above, the calculation gives 11.15; 5.17; 15.77; 5.79; 5.64; 5.53; 8.02; 8.81; 4.58; 5.18; 15.03; 6.76 g/cm³ in order.
Asked for DFT total energy across the records above, the calculation gives -2.443; -2.880; -5.046; -2.294; -5.466; -6.014; -4.557; -8.538; -3.019; -3.203; -4.479; -5.323 eV per atom in order.